Record 1
Entry from Alexandria via LeMat-Bulk: a geometry-optimized SnOsRuN structure (PBE-GGA).

Structure (CIF):
```
data_SnOsRuN
_chemical_formula_sum 'Sn2 Os2 Ru2 N2'
_cell_length_a 4.9878
_cell_length_b 2.8795
_cell_length_c 8.4359
_cell_angle_alpha 90.00
_cell_angle_beta 90.24
_cell_angle_gamma 90.00
_symmetry_space_group_name_H-M 'P 1'
_symmetry_Int_Tables_number 1
loop_
_symmetry_equiv_pos_as_xyz
'x,y,z'
loop_
_atom_site_label
_atom_site_type_symbol
_atom_site_fract_x
_atom_site_fract_y
_atom_site_fract_z
Sn1 Sn 0.0000 0.0000 0.0000
Sn2 Sn 0.5000 0.5000 0.0000
Os1 Os 0.1724 0.5000 0.4197
Os2 Os 0.6724 0.0000 0.4197
Ru1 Ru 0.0075 0.0000 0.6642
Ru2 Ru 0.5075 0.5000 0.6642
N1 N 0.0048 0.0000 0.2772
N2 N 0.5048 0.5000 0.2772
```

## Properties
For the excess energy over the best structure of this formula in the dataset, the calculation gives 73 kJ/mol of formula units. The density of states at the Fermi level is 2.65 states/eV/f.u. Its formation energy (no corrections) is 0.452 eV per atom. Its spin magnetization is 0.00 μB per cell. The symmetry is Cm (8).

***

Record 2
Entry from Alexandria via LeMat-Bulk: a geometry-optimized LiAlSe2 structure (PBE-GGA).

Structure (CIF):
```
data_LiAlSe2
_chemical_formula_sum 'Li2 Al2 Se4'
_cell_length_a 7.1441
_cell_length_b 7.0375
_cell_length_c 4.5807
_cell_angle_alpha 90.00
_cell_angle_beta 113.58
_cell_angle_gamma 90.00
_symmetry_space_group_name_H-M 'P 1'
_symmetry_Int_Tables_number 1
loop_
_symmetry_equiv_pos_as_xyz
'x,y,z'
loop_
_atom_site_label
_atom_site_type_symbol
_atom_site_fract_x
_atom_site_fract_y
_atom_site_fract_z
Li1 Li 0.0000 0.0000 0.0000
Li2 Li 0.5000 0.5000 0.0000
Al1 Al 0.0000 0.5000 0.0000
Al2 Al 0.5000 0.0000 0.0000
Se1 Se 0.2500 0.2500 0.0000
Se2 Se 0.2500 0.7500 0.0000
Se3 Se 0.7500 0.2500 0.0000
Se4 Se 0.7500 0.7500 0.0000
```

## Properties
The density of states at the Fermi level is 1.75 states/eV/f.u. Its formation energy (no corrections) is -0.524 eV per atom. Its spin magnetization is 0.00 μB per cell. The symmetry is C2/m (12).

***

Record 3
Entry from Alexandria via LeMat-Bulk: a geometry-optimized LiAg7Sn2 structure (PBE-GGA).

Structure (CIF):
```
data_LiAg7Sn2
_chemical_formula_sum 'Li1 Ag7 Sn2'
_cell_length_a 7.8968
_cell_length_b 7.8968
_cell_length_c 4.5777
_cell_angle_alpha 90.00
_cell_angle_beta 90.00
_cell_angle_gamma 121.79
_symmetry_space_group_name_H-M 'P 1'
_symmetry_Int_Tables_number 1
loop_
_symmetry_equiv_pos_as_xyz
'x,y,z'
loop_
_atom_site_label
_atom_site_type_symbol
_atom_site_fract_x
_atom_site_fract_y
_atom_site_fract_z
Li1 Li 0.0000 0.0000 0.0000
Ag1 Ag 0.0768 0.2819 0.5000
Ag2 Ag 0.1931 0.8069 0.0000
Ag3 Ag 0.2819 0.0768 0.5000
Ag4 Ag 0.5000 0.5000 0.5000
Ag5 Ag 0.7181 0.9232 0.5000
Ag6 Ag 0.8069 0.1931 0.0000
Ag7 Ag 0.9232 0.7181 0.5000
Sn1 Sn 0.2997 0.7003 0.5000
Sn2 Sn 0.7003 0.2997 0.5000
```

## Properties
The density of states at the Fermi level is 4.41 states/eV/f.u. Its spin magnetization is 0.00 μB per cell. The symmetry is Cmmm (65).

***

Record 4
Entry from Alexandria via LeMat-Bulk: a geometry-optimized CaTmRh structure (PBE-GGA).

Structure (CIF):
```
data_CaTmRh
_chemical_formula_sum 'Ca4 Tm4 Rh4'
_cell_length_a 6.7751
_cell_length_b 6.7751
_cell_length_c 6.7751
_cell_angle_alpha 90.00
_cell_angle_beta 90.00
_cell_angle_gamma 90.00
_symmetry_space_group_name_H-M 'P 1'
_symmetry_Int_Tables_number 1
loop_
_symmetry_equiv_pos_as_xyz
'x,y,z'
loop_
_atom_site_label
_atom_site_type_symbol
_atom_site_fract_x
_atom_site_fract_y
_atom_site_fract_z
Ca1 Ca 0.0000 0.0000 0.0000
Ca2 Ca 0.0000 0.5000 0.5000
Ca3 Ca 0.5000 0.0000 0.5000
Ca4 Ca 0.5000 0.5000 0.0000
Tm1 Tm 0.0000 0.0000 0.5000
Tm2 Tm 0.0000 0.5000 0.0000
Tm3 Tm 0.5000 0.0000 0.0000
Tm4 Tm 0.5000 0.5000 0.5000
Rh1 Rh 0.2500 0.2500 0.7500
Rh2 Rh 0.2500 0.7500 0.2500
Rh3 Rh 0.7500 0.2500 0.2500
Rh4 Rh 0.7500 0.7500 0.7500
```

## Properties
For the excess energy over the best structure of this formula in the dataset, the calculation gives 17 kJ/mol of formula units. The density of states at the Fermi level is 0.57 states/eV/f.u. Its spin magnetization is 0.00 μB per cell. The symmetry is F-43m (216).

***

| no. | total energy (eV/atom) |
| --- | --- |
| 1 | -7.757 |
| 2 | -3.680 |
| 3 | -2.822 |
| 4 | -5.072 |